DFT (GGA-PBE) results for RbNb2CrBi after structural relaxation.

## Properties
Energy relative to the elements, eV/atom: 1.104

Lattice parameters (Å, degrees): 4.871 4.871 5.382 90.00 90.00 90.00
Space group P4/mmm (No. 123)
Unique sites:
1 Rb 0.000 0.000 0.000 (multiplicity 1)
2 Nb 0.000 0.500 0.500 (multiplicity 2)
3 Cr 0.500 0.500 0.500 (multiplicity 1)
4 Bi 0.500 0.500 0.000 (multiplicity 1)